A.
Density functional theory data (PBE-GGA) for crystalline Nd3Pu at its relaxed geometry.

The structure in extended XYZ format:
```
4
Lattice="-1.817 5.865 3.147 1.817 -5.865 3.147 1.817 5.865 -3.147" Properties=species:S:1:pos:R:3 pbc="T T T"
Nd 0.000 0.000 0.000
Nd 1.817 3.022 0.939
Nd 0.000 2.843 4.086
Pu 1.817 0.000 3.067
```

Calculated values
**Magnetic moment**: 1.658 μB/atom
**Space group**: Imm2


B.
Density functional theory data (PBE-GGA) for crystalline Nd3Pu at its relaxed geometry.

The structure in extended XYZ format:
```
4
Lattice="3.626 0.000 0.000 -1.813 3.140 0.000 0.000 0.000 11.707" Properties=species:S:1:pos:R:3 pbc="T T T"
Nd 0.000 0.000 0.000
Nd 1.813 1.047 3.036
Nd 1.813 1.047 8.670
Pu 0.000 2.093 5.853
```

Calculated values
**Magnetic moment**: 1.524 μB/atom
**Space group**: P-6m2


Which of them is most stable? Easy: B.


A.
Density functional theory data (PBE-GGA) for crystalline Nd3Pu at its relaxed geometry.

The structure in extended XYZ format:
```
4
Lattice="-2.538 2.538 5.136 2.538 -2.538 5.136 2.538 2.538 -5.136" Properties=species:S:1:pos:R:3 pbc="T T T"
Nd 0.000 0.000 0.000
Nd 2.538 0.000 2.568
Nd 0.000 2.538 2.568
Pu 0.000 0.000 5.136
```

Calculated values
**Magnetic moment**: 1.655 μB/atom
**Space group**: I4/mmm


B.
Density functional theory data (PBE-GGA) for crystalline Nd3Pu at its relaxed geometry.

The structure in extended XYZ format:
```
4
Lattice="3.607 0.000 0.000 0.000 5.882 0.000 0.000 0.000 6.315" Properties=species:S:1:pos:R:3 pbc="T T T"
Nd 0.000 0.000 0.000
Nd 0.000 2.941 2.093
Nd 1.804 0.000 3.204
Pu 1.804 2.941 5.235
```

Calculated values
**Magnetic moment**: 1.605 μB/atom
**Space group**: Pmm2


Which of them is most stable? Easy: A.


A.
Density functional theory data (PBE-GGA) for crystalline Nd2PuRh at its relaxed geometry.

The structure in extended XYZ format:
```
4
Lattice="3.576 0.000 0.000 0.000 3.576 0.000 0.000 0.000 8.557" Properties=species:S:1:pos:R:3 pbc="T T T"
Nd 0.000 0.000 1.702
Nd 0.000 0.000 6.855
Pu 1.788 1.788 4.279
Rh 1.788 1.788 0.000
```

Calculated values
**Magnetic moment**: 1.793 μB/atom
**Space group**: P4/mmm


B.
Density functional theory data (PBE-GGA) for crystalline Nd2PuRh at its relaxed geometry.

The structure in extended XYZ format:
```
4
Lattice="1.861 1.075 10.529 -1.861 1.075 10.529 0.000 -2.149 10.529" Properties=species:S:1:pos:R:3 pbc="T T T"
Nd 0.000 0.000 3.448
Nd 0.000 0.000 28.139
Pu 0.000 0.000 0.000
Rh 0.000 0.000 15.793
```

Calculated values
**Magnetic moment**: 1.624 μB/atom
**Space group**: R-3m


C.
Density functional theory data (PBE-GGA) for crystalline Nd2PuRh at its relaxed geometry.

The structure in extended XYZ format:
```
4
Lattice="1.926 1.112 9.459 -1.926 1.112 9.459 0.000 -2.224 9.459" Properties=species:S:1:pos:R:3 pbc="T T T"
Nd 0.000 0.000 6.473
Nd 0.000 0.000 21.904
Pu 0.000 0.000 0.000
Rh 0.000 0.000 14.188
```

Calculated values
**Magnetic moment**: 1.753 μB/atom
**Space group**: R-3m


Which of them is most stable? Easy: A.